Run A
## Zr3WC (PBE)

Data for a geometry-optimized Zr3WC structure.

Calculated values
SG: Pm-3m (221)

Lattice parameters (Å, degrees): 5.0474 5.0474 5.0474 90.00 90.00 90.00
Last column: nearest neighbours and their distance in Å.
Element x y z (fractional)
C 0.5000 0.5000 0.5000  12 Zr 3.57
Zr 0.0000 0.5000 0.0000  2 W 2.52
Zr 0.0000 0.0000 0.5000  2 W 2.52
Zr 0.5000 0.0000 0.0000  2 W 2.52
W 0.0000 0.0000 0.0000  6 Zr 2.52

=====

Run B
## Zr3WC (PBE)

Data for a geometry-optimized Zr3WC structure.

Calculated values
SG: Pm-3m (221)

Lattice parameters (Å, degrees): 4.5224 4.5224 4.5224 90.00 90.00 90.00
Last column: nearest neighbours and their distance in Å.
Element x y z (fractional)
C 0.0000 0.0000 0.0000  6 Zr 2.26
Zr 0.0000 0.5000 0.0000  2 C 2.26
Zr 0.0000 0.0000 0.5000  2 C 2.26
Zr 0.5000 0.0000 0.0000  2 C 2.26
W 0.5000 0.5000 0.5000  12 Zr 3.20

=====

Most stable structure: run B

=====

Run A
## ZrWC3 (PBE)

Data for a geometry-optimized ZrWC3 structure.

Calculated values
SG: Pm-3m (221)

Lattice parameters (Å, degrees): 4.1189 4.1189 4.1189 90.00 90.00 90.00
Last column: nearest neighbours and their distance in Å.
Element x y z (fractional)
C 0.0000 0.5000 0.0000  2 Zr 2.06
C 0.0000 0.0000 0.5000  2 Zr 2.06
C 0.5000 0.0000 0.0000  2 Zr 2.06
Zr 0.0000 0.0000 0.0000  6 C 2.06
W 0.5000 0.5000 0.5000  12 C 2.91

=====

Run B
## ZrWC3 (PBE)

Data for a geometry-optimized ZrWC3 structure.

Calculated values
SG: Pm-3m (221)

Lattice parameters (Å, degrees): 4.0251 4.0251 4.0251 90.00 90.00 90.00
Last column: nearest neighbours and their distance in Å.
Element x y z (fractional)
C 0.0000 0.5000 0.0000  2 W 2.01
C 0.0000 0.0000 0.5000  2 W 2.01
C 0.5000 0.0000 0.0000  2 W 2.01
Zr 0.5000 0.5000 0.5000  12 C 2.85
W 0.0000 0.0000 0.0000  6 C 2.01

=====

Most stable structure: run B